No. 1
The following is a PBE calculation of PPt2 after structural relaxation, from the Alexandria database.

abc: 3.4141 3.4141 32.7376
angles: 90.00 90.00 90.00
With the nearest neighbours (Å) after each atom.
Space group I4_1/amd (No. 141, origin choice 2)
Symmetry-distinct sites (fractional):
P1 0.0000 0.2500 0.3032 [8 per cell]  6 Pt 2.34-2.50
Pt1 0.0000 0.2500 0.1022 [8 per cell]  2 P 2.34
Pt2 0.0000 0.2500 0.7833 [8 per cell]  4 P 2.50, 2 Pt 2.77

Formation energy from the elements: -0.182 eV per atom

No. 2
The following is a PBE calculation of SrSbSeI2 after structural relaxation, from the Alexandria database.

abc: 5.8175 5.8175 5.5688
angles: 90.00 90.00 90.00
With the nearest neighbours (Å) after each atom.
Space group P4/mmm (No. 123)
Symmetry-distinct sites (fractional):
Sr1 0.0000 0.0000 0.0000 [1 per cell]  8 I 4.03, 4 Sb 4.11
Sb1 0.5000 0.5000 0.0000 [1 per cell]  2 Se 2.78
Se1 0.5000 0.5000 0.5000 [1 per cell]  2 Sb 2.78, 4 I 2.91
I1 0.0000 0.5000 0.5000 [2 per cell]  2 Se 2.91

Energy relative to the lowest polymorph listed for this composition: 0 meV per atom
Uncorrected formation energy: -0.26 eV per atom

No. 3
The following is a PBE calculation of CaAc2AgHg6 after structural relaxation, from the Alexandria database.

abc: 10.9317 10.9317 10.9317
angles: 90.00 90.00 90.00
With the nearest neighbours (Å) after each atom.
Space group Fm-3m (No. 225)
Symmetry-distinct sites (fractional):
Ca1 0.0000 0.0000 0.0000 [4 per cell]  6 Hg 2.80
Ac1 0.2500 0.2500 0.2500 [8 per cell]  12 Hg 3.87
Ag1 0.0000 0.0000 0.5000 [4 per cell]  6 Hg 2.66
Hg1 0.0000 0.0000 0.2562 [24 per cell]  1 Ag 2.66, 1 Ca 2.80

Formation energy from the elements: -0.039 eV per atom

No. 4
The following is a PBE calculation of Pa3Si3TcRu2 after structural relaxation, from the Alexandria database.

abc: 6.9360 6.9360 3.9500
angles: 90.00 90.00 120.00
With the nearest neighbours (Å) after each atom.
Space group P-62m (No. 189)
Symmetry-distinct sites (fractional):
Pa1 0.0000 0.5826 0.0000 [3 per cell]  4 Ru 2.87, 1 Tc 2.90, 6 Si 3.09-3.20
Si1 0.0000 0.2401 0.5000 [3 per cell]  2 Tc 2.58, 2 Ru 2.69, 2 Si 2.88
Tc1 0.0000 0.0000 0.0000 [1 per cell]  6 Si 2.58
Ru1 0.3333 0.6667 0.5000 [2 per cell]  3 Si 2.69, 6 Pa 2.87

Uncorrected formation energy: -0.69 eV per atom

M_tot
In order: 0.0, 0.0, 0.0, 0.0
Unit: μB per formula unit
Fermi-level density of states
In order: 1.67, 5.09, 10.63, 6.42
Unit: states/eV/f.u.
Total energy
In order: -6.012, -2.736, -1.527, -8.873
Unit: eV/atom